# Cs2InSn2Br7 (GGA-PBE, optimized geometry)
data_Cs2InSn2Br7
_cell_length_a 8.2780
_cell_length_b 8.2790
_cell_length_c 15.3799
_cell_angle_alpha 90.00
_cell_angle_beta 105.60
_cell_angle_gamma 90.00
_symmetry_space_group_name_H-M 'C 1 2/m 1'
_symmetry_Int_Tables_number 12
_symmetry_space_group_name_Hall '-C 2y'
loop_
_atom_site_label
_atom_site_type_symbol
_atom_site_fract_x
_atom_site_fract_y
_atom_site_fract_z
Cs1 Cs 0.1804 0.0000 0.3590
In1 In 0.0000 0.0000 0.0000
Sn1 Sn 0.0992 0.5000 0.1985
Br1 Br 0.0000 0.5000 0.0000
Br2 Br 0.1568 0.2495 0.8145
Br3 Br 0.1969 0.5000 0.3971
# Formation energy from raw total energies in eV/atom: -1.08